[1]
Computed, not measured: a geometry-optimized Ca2TiCo2 structure at the PBE level of DFT.

a b c (Å): 6.4345 6.4345 4.6947
angles (deg): 90.00 90.00 90.00
Fractional positions:
Ca 0.1762 0.6762 0.5000
Ca 0.6762 0.8238 0.5000
Ca 0.8238 0.3238 0.5000
Ca 0.3238 0.1762 0.5000
Co 0.3758 0.8758 0.0000
Co 0.8758 0.6242 0.0000
Co 0.6242 0.1242 0.0000
Co 0.1242 0.3758 0.0000
Ti 0.0000 0.0000 0.0000
Ti 0.5000 0.5000 0.0000

## Properties
Fermi-level density of states = 0.92 states/eV per atom
E = -50.35 eV for the cell shown
crystal system = tetragonal



[2]
Computed, not measured: a geometry-optimized NiPtRh structure at the PBE level of DFT.

a b c (Å): 4.2531 4.2531 2.6843
angles (deg): 90.00 90.00 120.00
Fractional positions:
Ni 0.0000 0.0000 0.0019
Pt 0.6667 0.3333 0.2567
Rh 0.3333 0.6667 0.7414

## Properties
Fermi-level density of states = 1.45 states/eV per atom
relative energy among the computed polymorphs = 137 meV/atom
E = -18.85 eV for the cell shown
crystal system = trigonal



[3]
Computed, not measured: a geometry-optimized TlHg2Ir structure at the PBE level of DFT.

a b c (Å): 3.1076 4.5066 7.2425
angles (deg): 71.88 90.00 90.00
Fractional positions:
Hg 0.0000 0.0578 0.0112
Hg 0.5000 0.4358 0.2522
Ir 0.0000 0.2600 0.6046
Tl 0.5000 0.7463 0.6320

## Properties
Fermi-level density of states = 0.42 states/eV per atom
relative energy among the computed polymorphs = 13 meV/atom
E = -10.67 eV for the cell shown
crystal system = orthorhombic



[4]
Computed, not measured: a geometry-optimized K2MnAuN structure at the PBE level of DFT.

a b c (Å): 6.3888 3.5782 6.3888
angles (deg): 90.00 90.00 90.00
Fractional positions:
K 0.0000 0.0000 0.5000
K 0.5000 0.0000 0.0000
Mn 0.0000 0.0000 0.0000
Au 0.5000 0.5000 0.5000
N 0.0000 0.5000 0.0000

## Properties
Fermi-level density of states = 0.28 states/eV per atom
E = -22.28 eV for the cell shown
crystal system = tetragonal
uncorrected formation energy = 13 kJ/mol of atoms



[5]
Computed, not measured: a geometry-optimized BaSr2Sc2 structure at the PBE level of DFT.

a b c (Å): 10.0548 10.0548 3.9674
angles (deg): 90.00 90.00 90.00
Fractional positions:
Sc 0.1543 0.6543 0.5000
Sc 0.6543 0.8457 0.5000
Sc 0.8457 0.3457 0.5000
Sc 0.3457 0.1543 0.5000
Sr 0.3617 0.8617 0.0000
Sr 0.8617 0.6383 0.0000
Sr 0.6383 0.1383 0.0000
Sr 0.1383 0.3617 0.0000
Ba 0.0000 0.0000 0.0000
Ba 0.5000 0.5000 0.0000

## Properties
Fermi-level density of states = 2.42 states/eV per atom
relative energy among the computed polymorphs = 66 meV/atom
E = -31.78 eV for the cell shown
crystal system = tetragonal



[6]
Computed, not measured: a geometry-optimized Ta2TlPb structure at the PBE level of DFT.

a b c (Å): 4.9018 4.9018 4.9018
angles (deg): 60.00 60.00 60.00
Fractional positions:
Pb 0.5000 0.5000 0.5000
Tl 0.0000 0.0000 0.0000
Ta 0.2500 0.2500 0.2500
Ta 0.7500 0.7500 0.7500

## Properties
Fermi-level density of states = 1.29 states/eV per atom
relative energy among the computed polymorphs = 480 meV/atom
E = -26.43 eV for the cell shown
crystal system = cubic



> Among the records above, which one has the highest Fermi-level density of states?

BaSr2Sc2